(1)
VASP calculation (PBE-GGA) on NaAcSn2 after structural relaxation.

Cell and atoms, written as POSCAR:
```
NaAcSn2
1.0
1.809 1.044 11.086
-1.809 1.044 11.086
0.000 -2.089 11.086
Na Ac Sn
1 1 2
Cartesian
0.000 0.000 0.000
0.000 0.000 16.629
0.000 0.000 8.453
0.000 0.000 24.804
```

Results
Formation enthalpy at 0 K, eV per atom: -0.172
Space-group type: R-3m, No. 166

(2)
VASP calculation (PBE-GGA) on NaAc3Sn12 after structural relaxation.

Cell and atoms, written as POSCAR:
```
NaAc3Sn12
1.0
4.864 0.000 0.000
0.000 4.864 0.000
0.000 0.000 19.615
Na Ac Sn
1 3 12
Cartesian
0.000 0.000 0.000
0.000 0.000 4.856
0.000 0.000 9.807
0.000 0.000 14.759
0.000 2.432 2.274
0.000 2.432 7.311
0.000 2.432 12.303
0.000 2.432 17.340
2.432 0.000 2.274
2.432 0.000 7.311
2.432 0.000 12.303
2.432 0.000 17.340
2.432 2.432 0.000
2.432 2.432 4.759
2.432 2.432 9.807
2.432 2.432 14.856
```

Results
Formation enthalpy at 0 K, eV per atom: -0.400
Space-group type: P4/mmm, No. 123

(3)
VASP calculation (PBE-GGA) on Na3AcSn3 after structural relaxation.

Cell and atoms, written as POSCAR:
```
Na3AcSn3
1.0
8.001 0.000 0.000
0.000 8.001 0.000
0.000 0.000 8.001
Na Ac Sn
6 2 6
Cartesian
0.000 2.000 4.001
0.000 6.001 4.001
2.000 4.001 0.000
4.001 0.000 2.000
4.001 0.000 6.001
6.001 4.001 0.000
0.000 0.000 0.000
4.001 4.001 4.001
0.000 4.001 2.000
0.000 4.001 6.001
2.000 0.000 4.001
4.001 2.000 0.000
4.001 6.001 0.000
6.001 0.000 4.001
```

Results
Formation enthalpy at 0 K, eV per atom: 0.410
Space-group type: Pm-3n, No. 223

(4)
VASP calculation (PBE-GGA) on NaAc4Sn3 after structural relaxation.

Cell and atoms, written as POSCAR:
```
NaAc4Sn3
1.0
4.699 0.000 0.000
0.000 4.964 0.000
0.000 0.000 12.588
Na Ac Sn
1 4 3
Cartesian
0.000 0.000 0.000
0.000 0.000 8.843
0.000 2.482 2.680
2.349 0.000 5.447
2.349 2.482 11.655
0.000 2.482 6.124
2.349 0.000 1.996
2.349 2.482 8.196
```

Results
Formation enthalpy at 0 K, eV per atom: -0.457
Space-group type: Pmm2, No. 25

(5)
VASP calculation (PBE-GGA) on NaSrAcSn after structural relaxation.

Cell and atoms, written as POSCAR:
```
NaSrAcSn
1.0
0.000 4.126 4.126
4.126 0.000 4.126
4.126 4.126 0.000
Na Sr Ac Sn
1 1 1 1
Cartesian
0.000 0.000 0.000
6.189 6.189 6.189
2.063 2.063 2.063
4.126 4.126 4.126
```

Results
Formation enthalpy at 0 K, eV per atom: -0.329
Space-group type: F-43m, No. 216

(6)
VASP calculation (PBE-GGA) on NaAc2Sn3Te6 after structural relaxation.

Cell and atoms, written as POSCAR:
```
NaAc2Sn3Te6
1.0
10.087 -2.445 0.000
10.087 2.445 0.000
-2.117 0.000 8.815
Na Ac Sn Te
1 2 3 6
Cartesian
0.000 0.000 0.000
5.340 0.000 6.029
12.718 0.000 2.786
-1.058 0.000 4.407
6.486 0.000 1.319
11.572 0.000 7.495
2.120 0.000 5.030
3.286 0.000 0.570
9.507 0.000 2.250
8.551 0.000 6.564
14.772 0.000 8.245
15.937 0.000 3.785
```

Results
Formation energy (no corrections), eV per atom: -0.793
Space-group type: C2/m, No. 12

(7)
VASP calculation (PBE-GGA) on Na2AcSn3Te6 after structural relaxation.

Cell and atoms, written as POSCAR:
```
Na2AcSn3Te6
1.0
3.903 -6.761 0.000
3.903 6.761 0.000
-2.607 0.000 7.741
Na Ac Sn Te
2 1 3 6
Cartesian
3.903 4.487 0.000
3.903 -4.487 0.000
3.903 0.000 0.000
-1.303 0.000 3.870
2.599 2.200 3.870
2.599 -2.200 3.870
-0.006 2.252 5.718
1.294 0.000 2.043
-0.006 -2.252 5.718
5.205 2.252 2.023
3.905 0.000 5.698
5.205 -2.252 2.023
```

Results
Formation energy (no corrections), eV per atom: -0.690
Space-group type: C2/m, No. 12

(8)
VASP calculation (PBE-GGA) on NaAcSnTe3 after structural relaxation.

Cell and atoms, written as POSCAR:
```
NaAcSnTe3
1.0
8.655 0.000 0.000
0.000 4.718 0.000
-3.586 0.000 9.801
Na Ac Sn Te
2 2 2 6
Cartesian
-1.138 1.179 3.787
6.207 3.538 6.014
3.318 3.538 2.584
1.751 1.179 7.218
-2.274 1.179 8.422
7.343 3.538 1.379
1.081 1.179 1.503
0.673 3.538 4.962
-0.253 3.538 8.856
5.322 1.179 0.945
4.396 1.179 4.839
3.988 3.538 8.298
```

Results
Formation energy (no corrections), eV per atom: -0.953
Space-group type: P2_1/m, No. 11

(9)
VASP calculation (PBE-GGA) on NaAcSn2Te4 after structural relaxation.

Cell and atoms, written as POSCAR:
```
NaAcSn2Te4
1.0
7.902 0.000 0.000
0.000 4.640 0.000
-2.633 0.000 7.687
Na Ac Sn Te
1 1 2 4
Cartesian
0.000 0.000 0.000
3.951 2.320 0.000
-1.317 2.320 3.843
2.634 0.000 3.843
-0.010 0.000 5.699
1.325 2.320 1.990
3.943 2.320 5.697
5.279 0.000 1.988
```

Results
Formation energy (no corrections), eV per atom: -0.792
Space-group type: P2/m, No. 10

(10)
VASP calculation (PBE-GGA) on Na2AcSnTe4 after structural relaxation.

Cell and atoms, written as POSCAR:
```
Na2AcSnTe4
1.0
8.018 0.000 0.000
0.000 4.571 0.000
-2.631 0.000 7.592
Na Ac Sn Te
2 1 1 4
Cartesian
0.000 0.000 0.000
4.009 2.286 0.000
-1.315 2.286 3.796
2.694 0.000 3.796
0.161 0.000 5.664
1.477 2.286 1.991
3.910 2.286 5.600
5.227 0.000 1.928
```

Results
Formation energy (no corrections), eV per atom: -0.904
Space-group type: P2/m, No. 10

(11)
VASP calculation (PBE-GGA) on NaSr2Ac after structural relaxation.

Cell and atoms, written as POSCAR:
```
NaSr2Ac
1.0
2.055 1.186 13.113
-2.055 1.186 13.113
0.000 -2.373 13.113
Na Sr Ac
1 2 1
Cartesian
0.000 0.000 0.000
0.000 0.000 16.362
0.000 0.000 22.984
0.000 0.000 32.790
```

Results
Formation enthalpy at 0 K, eV per atom: 0.066
Space-group type: R3m, No. 160

(12)
VASP calculation (PBE-GGA) on NaSrAc after structural relaxation.

Cell and atoms, written as POSCAR:
```
NaSrAc
1.0
3.511 -2.027 0.000
3.511 2.027 0.000
-0.044 0.000 20.098
Na Sr Ac
2 2 2
Cartesian
-0.012 0.000 8.248
6.991 0.000 11.850
2.335 0.000 4.997
4.644 0.000 15.101
2.299 0.000 18.531
4.680 0.000 1.567
```

Results
Formation enthalpy at 0 K, eV per atom: 0.054
Space-group type: C2/m, No. 12

Short version: total DFT energy (no corrections) = -14.12, -68.07, -34.41, -33.42, -12.43, -49.90, -45.89, -49.14, -32.34, -30.55, -8.53, -13.89 eV for the cell shown, in the order given.